# Ti6Ni6Au, optimized geometry, DFT PBE
# * energy of formation: -0.31 eV per atom
# * DOS at the Fermi energy: 16.5 states/eV/f.u.
# * spin magnetization: 3.48 μB per cell
# * final energy: -178.755 eV per cell
data_Ti6Ni6Au
_chemical_formula_sum 'Ti12 Ni12 Au2'
_cell_length_a 4.864
_cell_length_b 8.643
_cell_length_c 8.716
_cell_angle_alpha 90.00
_cell_angle_beta 90.00
_cell_angle_gamma 90.00
_symmetry_space_group_name_H-M 'I m m m'
_symmetry_Int_Tables_number 71
_symmetry_space_group_name_Hall '-I 2 2'
loop_
_atom_site_label
_atom_site_type_symbol
_atom_site_fract_x
_atom_site_fract_y
_atom_site_fract_z
_atom_site_occupancy
Ti1 Ti 0.000 0.000 0.158 1
Ti2 Ti 0.000 0.315 0.000 1
Ti3 Ti 0.000 0.347 0.500 1
Ni1 Ni 0.000 0.500 0.234 1
Ni2 Ni 0.250 0.250 0.250 1
Au1 Au 0.000 0.000 0.500 1

# LaGeRhN, optimized geometry, DFT PBE
# * raw formation energy: -0.9836 eV/atom
# * DOS at the Fermi energy: 1.8 states/eV/f.u.
# * spin magnetization: 0.00 μB per cell
# * final energy: -58.312 eV per cell
data_LaGeRhN
_chemical_formula_sum 'La2 Ge2 Rh2 N2'
_cell_length_a 4.049
_cell_length_b 4.049
_cell_length_c 8.601
_cell_angle_alpha 90.00
_cell_angle_beta 90.00
_cell_angle_gamma 90.00
_symmetry_space_group_name_H-M 'P 4/n m m'
_symmetry_Int_Tables_number 129
loop_
_symmetry_equiv_pos_as_xyz
'x,y,z'
'-x,-y,-z'
'-y+1/2,x,z'
'y+1/2,-x,-z'
'-x+1/2,-y+1/2,z'
'x+1/2,y+1/2,-z'
'y,-x+1/2,z'
'-y,x+1/2,-z'
'x+1/2,-y,-z'
'-x+1/2,y,z'
'-y,-x,-z'
'y,x,z'
'-x,y+1/2,-z'
'x,-y+1/2,z'
'y+1/2,x+1/2,-z'
'-y+1/2,-x+1/2,z'
loop_
_atom_site_label
_atom_site_type_symbol
_atom_site_fract_x
_atom_site_fract_y
_atom_site_fract_z
_atom_site_occupancy
La1 La 0.250 0.250 0.153 1
Ge1 Ge 0.250 0.250 0.658 1
Rh1 Rh 0.250 0.750 0.500 1
N1 N 0.250 0.250 0.880 1

# InBi2Pd2, optimized geometry, DFT PBE
# * energy of formation: -0.08 eV per atom
# * DOS at the Fermi energy: 2.5 states/eV/f.u.
# * spin magnetization: 0.00 μB per cell
# * final energy: -42.620 eV per cell
data_InBi2Pd2
_chemical_formula_sum 'In2 Bi4 Pd4'
_cell_length_a 8.510
_cell_length_b 8.510
_cell_length_c 3.290
_cell_angle_alpha 90.00
_cell_angle_beta 90.00
_cell_angle_gamma 90.00
_symmetry_space_group_name_H-M 'P 4/m b m'
_symmetry_Int_Tables_number 127
_symmetry_space_group_name_Hall '-P 4 2ab'
loop_
_atom_site_label
_atom_site_type_symbol
_atom_site_fract_x
_atom_site_fract_y
_atom_site_fract_z
_atom_site_occupancy
In1 In 0.000 0.000 0.000 1
Bi1 Bi 0.149 0.351 0.000 1
Pd1 Pd 0.139 0.639 0.500 1

# BeAgBr2, optimized geometry, DFT PBE
# * raw formation energy: 0.6927 eV/atom
# * DOS at the Fermi energy: 2.6 states/eV/f.u.
# * spin magnetization: 1.83 μB per cell
# * final energy: -28.610 eV per cell
data_BeAgBr2
_chemical_formula_sum 'Be4 Ag4 Br8'
_cell_length_a 7.076
_cell_length_b 7.076
_cell_length_c 7.076
_cell_angle_alpha 90.00
_cell_angle_beta 90.00
_cell_angle_gamma 90.00
_symmetry_space_group_name_H-M 'F -4 3 m'
_symmetry_Int_Tables_number 216
_symmetry_space_group_name_Hall 'F -4 2 3'
loop_
_atom_site_label
_atom_site_type_symbol
_atom_site_fract_x
_atom_site_fract_y
_atom_site_fract_z
_atom_site_occupancy
Be1 Be 0.000 0.000 0.000 1
Ag1 Ag 0.250 0.250 0.250 1
Br1 Br 0.000 0.000 0.500 1
Br2 Br 0.250 0.250 0.750 1

# HfSeO, optimized geometry, DFT PBE
# * raw formation energy: -2.2771 eV/atom
# * DOS at the Fermi energy: 0.4 states/eV/f.u.
# * spin magnetization: 0.00 μB per cell
# * final energy: -100.910 eV per cell
data_HfSeO
_chemical_formula_sum 'Hf4 Se4 O4'
_cell_length_a 14.527
_cell_length_b 3.434
_cell_length_c 5.933
_cell_angle_alpha 90.00
_cell_angle_beta 93.53
_cell_angle_gamma 90.00
_symmetry_space_group_name_H-M 'C 1 2/m 1'
_symmetry_Int_Tables_number 12
loop_
_symmetry_equiv_pos_as_xyz
'x,y,z'
'-x,-y,-z'
'-x,y,-z'
'x,-y,z'
'x+1/2,y+1/2,z'
'-x+1/2,-y+1/2,-z'
'-x+1/2,y+1/2,-z'
'x+1/2,-y+1/2,z'
loop_
_atom_site_label
_atom_site_type_symbol
_atom_site_fract_x
_atom_site_fract_y
_atom_site_fract_z
_atom_site_occupancy
Hf1 Hf 0.000 0.000 0.000 1
Hf2 Hf 0.000 0.500 0.500 1
Se1 Se 0.124 0.000 0.359 1
O1 O 0.053 0.500 0.835 1

# NaBiI2N, optimized geometry, DFT PBE
# * raw formation energy: 0.1652 eV/atom
# * DOS at the Fermi energy: 3.7 states/eV/f.u.
# * spin magnetization: 0.27 μB per cell
# * final energy: -15.799 eV per cell
data_NaBiI2N
_chemical_formula_sum 'Na1 Bi1 I2 N1'
_cell_length_a 6.433
_cell_length_b 6.433
_cell_length_c 4.291
_cell_angle_alpha 90.00
_cell_angle_beta 90.00
_cell_angle_gamma 90.00
_symmetry_space_group_name_H-M 'P 4/m m m'
_symmetry_Int_Tables_number 123
_symmetry_space_group_name_Hall '-P 4 2'
loop_
_atom_site_label
_atom_site_type_symbol
_atom_site_fract_x
_atom_site_fract_y
_atom_site_fract_z
_atom_site_occupancy
Na1 Na 0.000 0.000 0.000 1
Bi1 Bi 0.500 0.500 0.500 1
I1 I 0.000 0.500 0.500 1
N1 N 0.500 0.500 0.000 1

# Sc2Al2Ag, optimized geometry, DFT PBE
# * energy of formation: 0.01 eV per atom
# * DOS at the Fermi energy: 3.1 states/eV/f.u.
# * spin magnetization: 0.00 μB per cell
# * final energy: -45.913 eV per cell
data_Sc2Al2Ag
_chemical_formula_sum 'Sc4 Al4 Ag2'
_cell_length_a 8.267
_cell_length_b 8.267
_cell_length_c 3.108
_cell_angle_alpha 90.00
_cell_angle_beta 90.00
_cell_angle_gamma 90.00
_symmetry_space_group_name_H-M 'P 4/m b m'
_symmetry_Int_Tables_number 127
_symmetry_space_group_name_Hall '-P 4 2ab'
loop_
_atom_site_label
_atom_site_type_symbol
_atom_site_fract_x
_atom_site_fract_y
_atom_site_fract_z
_atom_site_occupancy
Sc1 Sc 0.125 0.375 0.000 1
Al1 Al 0.176 0.676 0.500 1
Ag1 Ag 0.000 0.000 0.000 1

# NdFe4Ru, optimized geometry, DFT PBE
# * energy of formation: 0.18 eV per atom
# * DOS at the Fermi energy: 6.3 states/eV/f.u.
# * spin magnetization: 44.08 μB per cell
# * final energy: -187.281 eV per cell
data_NdFe4Ru
_chemical_formula_sum 'Nd4 Fe16 Ru4'
_cell_length_a 7.132
_cell_length_b 7.132
_cell_length_c 7.132
_cell_angle_alpha 90.00
_cell_angle_beta 90.00
_cell_angle_gamma 90.00
_symmetry_space_group_name_H-M 'F -4 3 m'
_symmetry_Int_Tables_number 216
_symmetry_space_group_name_Hall 'F -4 2 3'
loop_
_atom_site_label
_atom_site_type_symbol
_atom_site_fract_x
_atom_site_fract_y
_atom_site_fract_z
_atom_site_occupancy
Nd1 Nd 0.000 0.000 0.000 1
Fe1 Fe 0.124 0.124 0.376 1
Ru1 Ru 0.250 0.250 0.750 1

# AcBiPtF, optimized geometry, DFT PBE
# * raw formation energy: -1.4833 eV/atom
# * DOS at the Fermi energy: 4.9 states/eV/f.u.
# * spin magnetization: 0.00 μB per cell
# * final energy: -87.338 eV per cell
data_AcBiPtF
_chemical_formula_sum 'Ac4 Bi4 Pt4 F4'
_cell_length_a 7.127
_cell_length_b 7.127
_cell_length_c 7.127
_cell_angle_alpha 90.00
_cell_angle_beta 90.00
_cell_angle_gamma 90.00
_symmetry_space_group_name_H-M 'F -4 3 m'
_symmetry_Int_Tables_number 216
_symmetry_space_group_name_Hall 'F -4 2 3'
loop_
_atom_site_label
_atom_site_type_symbol
_atom_site_fract_x
_atom_site_fract_y
_atom_site_fract_z
_atom_site_occupancy
Ac1 Ac 0.000 0.000 0.000 1
Bi1 Bi 0.000 0.000 0.500 1
Pt1 Pt 0.250 0.250 0.250 1
F1 F 0.250 0.250 0.750 1

# BeSb3Rh, optimized geometry, DFT PBE
# * raw formation energy: 0.6627 eV/atom
# * DOS at the Fermi energy: 3.6 states/eV/f.u.
# * spin magnetization: 0.00 μB per cell
# * final energy: -20.131 eV per cell
data_BeSb3Rh
_chemical_formula_sum 'Be1 Sb3 Rh1'
_cell_length_a 4.783
_cell_length_b 4.783
_cell_length_c 4.783
_cell_angle_alpha 90.00
_cell_angle_beta 90.00
_cell_angle_gamma 90.00
_symmetry_space_group_name_H-M 'P m -3 m'
_symmetry_Int_Tables_number 221
_symmetry_space_group_name_Hall '-P 4 2 3'
loop_
_atom_site_label
_atom_site_type_symbol
_atom_site_fract_x
_atom_site_fract_y
_atom_site_fract_z
_atom_site_occupancy
Be1 Be 0.000 0.000 0.000 1
Sb1 Sb 0.000 0.000 0.500 1
Rh1 Rh 0.500 0.500 0.500 1